(1)
Below is an optimized crystal structure of YGa5Ag, with properties calculated at the GGA-PBE level.

Output
For the magnetic moment, the calculation gives 0.000 μB/atom. The volume is 139.9 Å³ per cell. The calculation puts the final energy at -3.754 eV per atom.

Structure (CIF):
```
data_YGa5Ag
_cell_length_a 4.473
_cell_length_b 4.473
_cell_length_c 6.990
_cell_angle_alpha 90.00
_cell_angle_beta 90.00
_cell_angle_gamma 90.00
_space_group_name_H-M_alt 'P 1'
_space_group_IT_number 1
loop_
_space_group_symop_operation_xyz
'x,y,z'
loop_
_atom_site_label
_atom_site_type_symbol
_atom_site_fract_x
_atom_site_fract_y
_atom_site_fract_z
Y1 Y 0.000 0.000 0.000
Ga1 Ga 0.000 0.500 0.288
Ga2 Ga 0.000 0.500 0.712
Ga3 Ga 0.500 0.000 0.288
Ga4 Ga 0.500 0.000 0.712
Ga5 Ga 0.500 0.500 0.000
Ag1 Ag 0.000 0.000 0.500
```



(2)
Below is an optimized crystal structure of YGa4Ag4, with properties calculated at the GGA-PBE level.

Output
For the magnetic moment, the calculation gives 0.000 μB/atom. The volume is 353.2 Å³ per cell. The calculation puts the final energy at -3.461 eV per atom.

Structure (CIF):
```
data_YGa4Ag4
_cell_length_a 6.211
_cell_length_b 6.211
_cell_length_c 9.156
_cell_angle_alpha 90.00
_cell_angle_beta 90.00
_cell_angle_gamma 90.00
_space_group_name_H-M_alt 'P 1'
_space_group_IT_number 1
loop_
_space_group_symop_operation_xyz
'x,y,z'
loop_
_atom_site_label
_atom_site_type_symbol
_atom_site_fract_x
_atom_site_fract_y
_atom_site_fract_z
Y1 Y 0.250 0.750 0.250
Y2 Y 0.750 0.250 0.750
Ga1 Ga 0.027 0.250 0.039
Ga2 Ga 0.250 0.027 0.539
Ga3 Ga 0.250 0.473 0.539
Ga4 Ga 0.473 0.250 0.039
Ga5 Ga 0.527 0.750 0.961
Ga6 Ga 0.750 0.527 0.461
Ga7 Ga 0.750 0.973 0.461
Ga8 Ga 0.973 0.750 0.961
Ag1 Ag 0.029 0.250 0.330
Ag2 Ag 0.250 0.029 0.830
Ag3 Ag 0.250 0.471 0.830
Ag4 Ag 0.471 0.250 0.330
Ag5 Ag 0.529 0.750 0.670
Ag6 Ag 0.750 0.529 0.170
Ag7 Ag 0.750 0.971 0.170
Ag8 Ag 0.971 0.750 0.670
```